# 1
Below is an optimized crystal structure of Zr2AgPt, with properties calculated at the PBE level.

Structure (extended XYZ):
```
4
Lattice="-0.7314 -2.5772 -3.9069 2.8586 -3.6413 -1.0051 -1.6067 -4.4419 0.3589" Properties=species:S:1:pos:R:3 pbc="T T T"
Ag 0.2602 -5.3302 -2.2765
Pt 0.3904 -7.9952 -3.4148
Zr 0.0000 0.0000 0.0000
Zr 0.1301 -2.6651 -1.1383
```

## Properties
The value obtained for the density of states at the Fermi level is 3.4 states/eV per cell. The calculation puts the formation energy at -0.28 eV per atom. The theoretical density is 10.72 g cm⁻³. The calculation puts the magnetic moment at 1.13 μB/f.u.


# 2
Below is an optimized crystal structure of ZrAgPt4, with properties calculated at the PBE level.

Structure (extended XYZ):
```
6
Lattice="-3.7905 -3.5130 -1.1354 -4.1414 1.4408 -2.9617 -0.4987 -1.8532 -4.9311" Properties=species:S:1:pos:R:3 pbc="T T T"
Zr -6.3230 -2.9441 -6.7711
Ag 0.0000 0.0000 0.0000
Pt -5.0593 -3.2324 -3.9515
Pt -3.4084 -2.4000 -5.8552
Pt -5.2353 -0.7480 -4.8675
Pt -3.1583 -1.4706 -3.3821
```

## Properties
The value obtained for the density of states at the Fermi level is 4.6 states/eV per cell. The calculation puts the formation energy at -0.57 eV per atom. The theoretical density is 15.52 g cm⁻³. The calculation puts the magnetic moment at 0.00 μB/f.u.


# 3
Below is an optimized crystal structure of ZrAgPt2, with properties calculated at the PBE level.

Structure (extended XYZ):
```
4
Lattice="-1.7807 2.2825 -0.2911 -0.6063 -0.8211 -2.7246 -6.3183 -4.5742 2.7845" Properties=species:S:1:pos:R:3 pbc="T T T"
Ag -5.9977 -2.7474 0.6093
Pt -0.0296 -0.0214 0.0130
Pt -2.7523 -0.3978 -0.8209
Zr -3.0848 -2.2333 1.3595
```

## Properties
The value obtained for the density of states at the Fermi level is 3.1 states/eV per cell. The calculation puts the formation energy at -0.26 eV per atom. The theoretical density is 13.96 g cm⁻³. The calculation puts the magnetic moment at 0.11 μB/f.u.


# 4
Below is an optimized crystal structure of Zr2AgPt, with properties calculated at the PBE level.

Structure (extended XYZ):
```
4
Lattice="5.6849 0.0104 0.0308 2.7365 4.9829 -0.0308 -3.8340 -3.1320 2.7947" Properties=species:S:1:pos:R:3 pbc="T T T"
Ag 4.3659 2.5888 0.0000
Pt 3.0793 -0.2837 1.4127
Zr 8.2532 4.8937 0.0000
Zr 1.5210 2.1527 1.3819
```

## Properties
The value obtained for the density of states at the Fermi level is 4.4 states/eV per cell. The calculation puts the formation energy at -0.38 eV per atom. The theoretical density is 10.22 g cm⁻³. The calculation puts the magnetic moment at 0.00 μB/f.u.


# 5
Below is an optimized crystal structure of ZrAgPt, with properties calculated at the PBE level.

Structure (extended XYZ):
```
3
Lattice="4.6768 0.0000 0.0000 -2.3384 4.0503 0.0000 0.0000 0.0000 2.8768" Properties=species:S:1:pos:R:3 pbc="T T T"
Ag 0.0000 0.0000 0.2472
Pt 2.3384 1.3501 0.7767
Zr 0.0000 2.7002 1.8529
```

## Properties
The value obtained for the density of states at the Fermi level is 2.2 states/eV per cell. The calculation puts the formation energy at -0.46 eV per atom. The theoretical density is 12.01 g cm⁻³. The calculation puts the magnetic moment at 0.00 μB/f.u. The value obtained for the excess energy over the best structure of this formula in the dataset is 0.176 eV/atom.


# 6
Below is an optimized crystal structure of ZrAgPt2, with properties calculated at the PBE level.

Structure (extended XYZ):
```
4
Lattice="-4.5675 -4.3234 -2.7287 3.8450 1.0581 -1.9054 0.7382 -3.5187 -0.4703" Properties=species:S:1:pos:R:3 pbc="T T T"
Ag -0.3612 -1.6327 -2.3170
Pt 0.0000 0.0000 0.0000
Pt -1.9147 -3.9211 -1.5995
Zr 2.2916 -1.2303 -1.1879
```

## Properties
The value obtained for the density of states at the Fermi level is 1.5 states/eV per cell. The calculation puts the formation energy at -0.58 eV per atom. The theoretical density is 13.94 g cm⁻³. The calculation puts the magnetic moment at 0.00 μB/f.u.


# 7
Below is an optimized crystal structure of ZrAgPt2, with properties calculated at the PBE level.

Structure (extended XYZ):
```
4
Lattice="-1.3655 4.4285 -0.0311 -4.4911 1.0367 -0.4824 -2.3802 1.7161 3.5870" Properties=species:S:1:pos:R:3 pbc="T T T"
Ag -4.1184 3.5906 1.5368
Pt 0.0000 0.0000 0.0000
Pt -6.1777 5.3860 2.3051
Zr -2.0592 1.7953 0.7684
```

## Properties
The value obtained for the density of states at the Fermi level is 3.4 states/eV per cell. The calculation puts the formation energy at -0.47 eV per atom. The theoretical density is 13.90 g cm⁻³. The calculation puts the magnetic moment at 0.00 μB/f.u.


# 8
Below is an optimized crystal structure of ZrAgPt2, with properties calculated at the PBE level.

Structure (extended XYZ):
```
4
Lattice="5.1608 -0.0110 -0.0081 2.0779 4.7240 0.0081 -3.6150 -2.3632 2.8203" Properties=species:S:1:pos:R:3 pbc="T T T"
Zr 3.6196 2.3567 0.0000
Ag 2.5828 -0.0087 1.4061
Pt 0.0003 0.0002 0.0000
Pt 1.0415 2.3589 1.4142
```

## Properties
The value obtained for the density of states at the Fermi level is 1.3 states/eV per cell. The calculation puts the formation energy at -0.69 eV per atom. The theoretical density is 14.22 g cm⁻³. The calculation puts the magnetic moment at 0.00 μB/f.u.


# 9
Below is an optimized crystal structure of ZrAg2Pt, with properties calculated at the PBE level.

Structure (extended XYZ):
```
4
Lattice="5.0293 -0.0066 0.0090 4.1337 2.8647 0.0090 0.9413 0.2936 5.0630" Properties=species:S:1:pos:R:3 pbc="T T T"
Ag 0.9598 0.2994 4.9413
Ag 7.6470 2.3852 3.9012
Pt 5.0023 1.5603 2.4197
Zr 2.4886 0.7762 1.4222
```

## Properties
The value obtained for the density of states at the Fermi level is 2.6 states/eV per cell. The calculation puts the formation energy at -0.23 eV per atom. The theoretical density is 11.41 g cm⁻³. The calculation puts the magnetic moment at 0.00 μB/f.u. The value obtained for the excess energy over the best structure of this formula in the dataset is 0.118 eV/atom.


# 10
Below is an optimized crystal structure of Zr4AgPt, with properties calculated at the PBE level.

Structure (extended XYZ):
```
12
Lattice="6.5373 0.0000 0.0000 0.0000 6.3964 1.3481 0.0000 -1.3708 6.4910" Properties=species:S:1:pos:R:3 pbc="T T T"
Zr 1.6340 4.4646 2.5824
Zr 1.6346 1.2664 1.9084
Zr 4.9031 4.4645 2.5824
Zr 1.6345 3.7593 5.9307
Zr 4.9028 1.2663 1.9084
Zr 1.6342 0.5611 5.2567
Zr 4.9027 3.7591 5.9308
Zr 4.9033 0.5609 5.2567
Ag 0.0000 2.5128 3.9196
Ag 3.2686 -0.6854 3.2455
Pt 3.2686 3.1982 0.6741
Pt 0.0000 0.0000 0.0000
```

## Properties
The value obtained for the density of states at the Fermi level is 12.6 states/eV per cell. The calculation puts the formation energy at -0.04 eV per atom. The theoretical density is 7.82 g cm⁻³. The calculation puts the magnetic moment at 0.00 μB/f.u. The value obtained for the excess energy over the best structure of this formula in the dataset is 0.000 eV/atom.


# 11
Below is an optimized crystal structure of ZrAgPt3, with properties calculated at the PBE level.

Structure (extended XYZ):
```
5
Lattice="4.9665 0.0000 0.0000 0.0000 4.9665 0.0000 0.0000 0.0000 4.9665" Properties=species:S:1:pos:R:3 pbc="T T T"
Zr 0.0000 0.0000 0.0000
Ag 2.4832 2.4832 2.4832
Pt 0.0000 2.4832 0.0000
Pt 0.0000 0.0000 2.4832
Pt 2.4832 0.0000 0.0000
```

## Properties
The value obtained for the density of states at the Fermi level is 3.0 states/eV per cell. The calculation puts the formation energy at 0.74 eV per atom. The theoretical density is 10.63 g cm⁻³. The calculation puts the magnetic moment at 0.00 μB/f.u. The value obtained for the excess energy over the best structure of this formula in the dataset is 0.000 eV/atom.


# 12
Below is an optimized crystal structure of ZrAgPt2, with properties calculated at the PBE level.

Structure (extended XYZ):
```
8
Lattice="-2.7309 5.9766 3.3202 -6.3399 -3.5520 1.1793 -3.5457 0.2759 4.7495" Properties=species:S:1:pos:R:3 pbc="T T T"
Zr -4.5354 1.2123 2.2498
Zr -7.2105 -1.0319 4.0893
Ag 0.0000 0.0000 0.0000
Ag -5.4060 3.7324 5.1597
Pt -3.3523 3.2872 3.3693
Pt -5.2236 -1.3308 2.3801
Pt -6.1384 1.0727 5.2639
Pt -10.5186 2.3719 7.4848
```

## Properties
The value obtained for the density of states at the Fermi level is 4.9 states/eV per cell. The calculation puts the formation energy at -0.29 eV per atom. The theoretical density is 12.68 g cm⁻³. The calculation puts the magnetic moment at 0.00 μB/f.u.


# 13
Below is an optimized crystal structure of ZrAgPt, with properties calculated at the PBE level.

Structure (extended XYZ):
```
12
Lattice="4.8523 0.0000 0.0000 2.4262 7.6965 0.0000 2.4262 0.0000 6.5930" Properties=species:S:1:pos:R:3 pbc="T T T"
Zr 4.8524 5.8611 1.8634
Zr 2.4262 1.8353 1.8634
Zr 7.2785 5.8611 4.7296
Zr 4.8523 1.8353 4.7296
Ag 4.8523 0.0000 2.4812
Ag 4.8523 1.4050 0.0000
Ag 2.4262 6.2915 0.0000
Ag 2.4262 0.0000 4.1117
Pt 7.2785 3.0155 4.3853
Pt 4.8523 4.6809 4.3853
Pt 4.8524 3.0155 2.2077
Pt 2.4262 4.6809 2.2077
```

## Properties
The value obtained for the density of states at the Fermi level is 7.3 states/eV per cell. The calculation puts the formation energy at -0.35 eV per atom. The theoretical density is 10.63 g cm⁻³. The calculation puts the magnetic moment at 0.00 μB/f.u. The value obtained for the excess energy over the best structure of this formula in the dataset is 0.279 eV/atom.


# 14
Below is an optimized crystal structure of Zr2AgPt2, with properties calculated at the PBE level.

Structure (extended XYZ):
```
10
Lattice="7.6324 0.0000 0.0000 0.0000 7.6324 0.0000 0.0000 0.0000 3.3304" Properties=species:S:1:pos:R:3 pbc="T T T"
Zr 1.2761 5.0923 1.6652
Zr 5.0923 6.3563 1.6652
Zr 6.3563 2.5401 1.6652
Zr 2.5401 1.2761 1.6652
Ag 0.0000 0.0000 0.0000
Ag 3.8162 3.8162 0.0000
Pt 2.8082 6.6244 0.0000
Pt 6.6244 4.8242 0.0000
Pt 4.8242 1.0080 0.0000
Pt 1.0080 2.8082 0.0000
```

## Properties
The value obtained for the density of states at the Fermi level is 10.1 states/eV per cell. The calculation puts the formation energy at -0.80 eV per atom. The theoretical density is 11.65 g cm⁻³. The calculation puts the magnetic moment at 0.00 μB/f.u. The value obtained for the excess energy over the best structure of this formula in the dataset is 0.000 eV/atom.


# 15
Below is an optimized crystal structure of Zr2AgPt2, with properties calculated at the PBE level.

Structure (extended XYZ):
```
5
Lattice="4.6636 0.0000 0.0000 0.0000 4.6636 0.0000 2.3318 2.3318 5.0910" Properties=species:S:1:pos:R:3 pbc="T T T"
Zr 4.6636 2.3318 2.5455
Zr 2.3318 4.6636 2.5455
Ag 0.0000 0.0000 0.0000
Pt 2.3318 2.3318 1.2573
Pt 4.6636 4.6636 3.8337
```

## Properties
The value obtained for the density of states at the Fermi level is 2.8 states/eV per cell. The calculation puts the formation energy at -0.53 eV per atom. The theoretical density is 10.21 g cm⁻³. The calculation puts the magnetic moment at 0.00 μB/f.u. The value obtained for the excess energy over the best structure of this formula in the dataset is 0.266 eV/atom.


# 16
Below is an optimized crystal structure of ZrAg2Pt, with properties calculated at the PBE level.

Structure (extended XYZ):
```
4
Lattice="-3.3284 -3.4833 1.6020 1.5120 -0.3085 2.4706 -2.5918 3.5460 2.3254" Properties=species:S:1:pos:R:3 pbc="T T T"
Ag 0.0473 0.0039 0.1068
Ag -0.5873 1.6149 2.2912
Pt -1.9342 -0.9323 2.0000
Zr -2.4741 0.6865 4.3980
```

## Properties
The value obtained for the density of states at the Fermi level is 2.8 states/eV per cell. The calculation puts the formation energy at -0.24 eV per atom. The theoretical density is 11.36 g cm⁻³. The calculation puts the magnetic moment at 0.00 μB/f.u. The value obtained for the excess energy over the best structure of this formula in the dataset is 0.108 eV/atom.


# 17
Below is an optimized crystal structure of Zr2AgPt, with properties calculated at the PBE level.

Structure (extended XYZ):
```
4
Lattice="4.1435 0.0000 0.0000 0.0000 2.9544 -0.0003 0.0000 2.9794 6.2517" Properties=species:S:1:pos:R:3 pbc="T T T"
Ag 2.0717 1.4835 1.5628
Pt 2.0717 4.4504 4.6885
Zr 0.0000 2.9866 6.1844
Zr 0.0000 2.9597 3.1929
```

## Properties
The value obtained for the density of states at the Fermi level is 4.3 states/eV per cell. The calculation puts the formation energy at -0.46 eV per atom. The theoretical density is 10.53 g cm⁻³. The calculation puts the magnetic moment at 0.00 μB/f.u.


# 18
Below is an optimized crystal structure of ZrAg2Pt, with properties calculated at the PBE level.

Structure (extended XYZ):
```
4
Lattice="-1.7721 4.2803 8.9658 -4.5114 4.1182 8.0334 -3.2949 1.8459 9.3586" Properties=species:S:1:pos:R:3 pbc="T T T"
Ag -9.5421 10.2056 26.2580
Ag -4.8254 5.1610 13.2787
Pt -2.3946 2.5611 6.5895
Zr -7.1838 7.6833 19.7684
```

## Properties
The value obtained for the density of states at the Fermi level is 2.1 states/eV per cell. The calculation puts the formation energy at 0.00 eV per atom. The theoretical density is 11.52 g cm⁻³. The calculation puts the magnetic moment at 0.00 μB/f.u. The value obtained for the excess energy over the best structure of this formula in the dataset is 0.350 eV/atom.


# 19
Below is an optimized crystal structure of ZrAg2Pt, with properties calculated at the PBE level.

Structure (extended XYZ):
```
4
Lattice="-1.4306 -4.7713 0.0992 1.2242 -1.6395 4.5426 -2.5959 4.0359 -1.2939" Properties=species:S:1:pos:R:3 pbc="T T T"
Ag 0.0000 0.0000 0.0000
Ag -2.0648 -1.9701 0.5630
Pt -0.1032 -3.2056 2.3210
Zr -0.7374 -0.4045 2.7848
```

## Properties
The value obtained for the density of states at the Fermi level is 2.3 states/eV per cell. The calculation puts the formation energy at -0.35 eV per atom. The theoretical density is 11.58 g cm⁻³. The calculation puts the magnetic moment at 0.00 μB/f.u. The value obtained for the excess energy over the best structure of this formula in the dataset is 0.001 eV/atom.


# 20
Below is an optimized crystal structure of Zr2AgPt, with properties calculated at the PBE level.

Structure (extended XYZ):
```
4
Lattice="-0.0935 -4.9210 -1.7884 1.0825 -3.0809 -4.0938 4.6729 -1.6756 1.0462" Properties=species:S:1:pos:R:3 pbc="T T T"
Ag 2.9253 -4.9521 -2.4603
Pt 1.2921 -2.3570 -1.2222
Zr 1.1797 -7.9794 -5.7670
Zr 4.0850 -7.2296 -3.6866
```

## Properties
The value obtained for the density of states at the Fermi level is 4.4 states/eV per cell. The calculation puts the formation energy at -0.39 eV per atom. The theoretical density is 10.31 g cm⁻³. The calculation puts the magnetic moment at 0.00 μB/f.u.


no.,volume (Å³/atom)
1,18.79
2,17.46
3,17.53
4,19.72
5,18.16
6,17.55
7,17.60
8,17.21
9,18.26
10,23.63
11,24.50
12,19.29
13,20.52
14,19.40
15,22.15
16,18.35
17,19.13
18,18.10
19,17.99
20,19.54